## CaYP2 (PBE-GGA)

Data for a relaxed CaYP2 crystal.

Results
symmetry = R-3m
ΔH_f (0 K) = -1.193 eV per atom
N(E_F) = 3.23 states/eV/f.u.
calculated volume = 23.9 Å³/atom

Structure (CIF):
```
data_CaYP2
_chemical_formula_sum 'Ca1 Y1 P2'
_cell_length_a 7.193
_cell_length_b 7.193
_cell_length_c 7.193
_cell_angle_alpha 32.52
_cell_angle_beta 32.52
_cell_angle_gamma 32.52
_symmetry_space_group_name_H-M 'P 1'
_symmetry_Int_Tables_number 1
_symmetry_space_group_name_Hall 'P 1'
loop_
_atom_site_label
_atom_site_type_symbol
_atom_site_fract_x
_atom_site_fract_y
_atom_site_fract_z
Ca1 Ca 0.000 0.000 0.000
Y1 Y 0.500 0.500 0.500
P1 P 0.246 0.246 0.246
P2 P 0.754 0.754 0.754
```

***

## CaYP2 (PBE-GGA)

Data for a relaxed CaYP2 crystal.

Results
symmetry = Cmmm
ΔH_f (0 K) = -0.968 eV per atom
N(E_F) = 1.81 states/eV/f.u.
calculated volume = 22.2 Å³/atom

Structure (CIF):
```
data_CaYP2
_chemical_formula_sum 'Ca1 Y1 P2'
_cell_length_a 3.504
_cell_length_b 3.504
_cell_length_c 7.410
_cell_angle_alpha 90.00
_cell_angle_beta 90.00
_cell_angle_gamma 102.62
_symmetry_space_group_name_H-M 'P 1'
_symmetry_Int_Tables_number 1
_symmetry_space_group_name_Hall 'P 1'
loop_
_atom_site_label
_atom_site_type_symbol
_atom_site_fract_x
_atom_site_fract_y
_atom_site_fract_z
Ca1 Ca 0.000 0.000 0.000
Y1 Y 0.000 0.000 0.500
P1 P 0.500 0.500 0.261
P2 P 0.500 0.500 0.739
```

***

## CaYP2 (PBE-GGA)

Data for a relaxed CaYP2 crystal.

Results
symmetry = I-42d
ΔH_f (0 K) = -0.917 eV per atom
N(E_F) = 1.33 states/eV/f.u.
calculated volume = 24.3 Å³/atom

Structure (CIF):
```
data_CaYP2
_chemical_formula_sum 'Ca2 Y2 P4'
_cell_length_a 6.324
_cell_length_b 6.324
_cell_length_c 6.324
_cell_angle_alpha 108.20
_cell_angle_beta 108.20
_cell_angle_gamma 112.05
_symmetry_space_group_name_H-M 'P 1'
_symmetry_Int_Tables_number 1
_symmetry_space_group_name_Hall 'P 1'
loop_
_atom_site_label
_atom_site_type_symbol
_atom_site_fract_x
_atom_site_fract_y
_atom_site_fract_z
Ca1 Ca 0.000 0.000 0.000
Ca2 Ca 0.750 0.250 0.500
Y1 Y 0.250 0.750 0.500
Y2 Y 0.500 0.500 0.000
P1 P 0.132 0.625 0.007
P2 P 0.375 0.382 0.507
P3 P 0.618 0.125 0.993
P4 P 0.875 0.868 0.493
```

***

Calculated ΔE to the lowest computed polymorph in order - 0.0; 225.4; 275.9 meV/atom
Calculated magnetic moment in order - 0.0; 0.0; 0.0 μB/f.u.